Here is a geometry-optimized NaLiReI6 structure from Alexandria. Energies are from GGA-PBE.

a b c (Å): 7.3916 7.3916 13.9650
angles (deg): 90.00 90.00 120.00
Space group P-31c (No. 163)
Inequivalent atoms, fractional coordinates:
Na  0.0000  0.0000  0.0000 [2 per cell]
Li  0.3333  0.6667  0.2500 [2 per cell]
Re  0.3333  0.6667  0.7500 [2 per cell]
I  0.0213  0.3733  0.6361 [12 per cell]

Results
The total magnetization is 6.00 μB per cell. As for the formation energy from raw total energies: -0.473 eV/atom. As for the mass density: 4.91 g/cm³.